(1)
Below is crystalline ScGaBi2 at its relaxed geometry, with properties calculated at the GGA-PBE level.

For the formation energy, the calculation gives -0.13 eV/atom.

The structure belongs to space group R3m (No. 160, hexagonal axes); the cell edges are 4.7628, 4.7628 and 18.0560 Å and the angles 90.00°, 90.00° and 120.00°. Symmetry generates all atoms from Sc at (0.0000, 0.0000, 0.0000), Ga at (0.0000, 0.0000, 0.1685), Bi at (0.0000, 0.0000, 0.4051) and Bi at (0.0000, 0.0000, 0.5848).

---

(2)
Below is crystalline NdMgNi4 at its relaxed geometry, with properties calculated at the GGA-PBE level.

For the formation energy, the calculation gives -0.33 eV/atom.

The structure belongs to space group F-43m (No. 216); the cell edges are 7.0921, 7.0921 and 7.0921 Å and the angles 90.00°, 90.00° and 90.00°. Symmetry generates all atoms from Nd at (0.0000, 0.0000, 0.0000), Mg at (0.2500, 0.2500, 0.7500) and Ni at (0.1236, 0.1236, 0.3764).

---

(3)
Below is crystalline TbDy14Tl at its relaxed geometry, with properties calculated at the GGA-PBE level.

For the formation energy, the calculation gives -0.01 eV/atom.

The structure belongs to space group P4/mmm (No. 123); the cell edges are 7.0280, 7.0280 and 9.9994 Å and the angles 90.00°, 90.00° and 90.00°. Symmetry generates all atoms from Tb at (0.0000, 0.0000, 0.0000), Dy at (0.0000, 0.0000, 0.5000), Dy at (0.0000, 0.5000, 0.0000), Dy at (0.0000, 0.5000, 0.5000), Dy at (0.2495, 0.2495, 0.2486), Dy at (0.5000, 0.5000, 0.5000) and Tl at (0.5000, 0.5000, 0.0000).

---

Values for Fermi-level density of states, states/eV/atom, ordered as above
0.651; 0.983; 1.379
Values for magnetization, Bohr magnetons per cell, ordered as above
0.000; 0.000; 0.000